Entry 1:
## YIn3Bi (PBEsol)

Data for YIn3Bi after structural relaxation.

## Properties
magnetic moment = 0.0 μB per formula unit
final energy = -3.393 eV/atom

a = 5.674 Å, b = 5.674 Å, c = 5.674 Å
α = 90.00°, β = 90.00°, γ = 90.00°
Space group Pm-3m (No. 221)
One atom of each set of equivalent atoms:
Y (0.000, 0.000, 0.000) x1
In (0.000, 0.500, 0.500) x3
Bi (0.500, 0.500, 0.500) x1

=====

Entry 2:
## YInBi3 (PBEsol)

Data for YInBi3 after structural relaxation.

## Properties
magnetic moment = 0.0 μB per formula unit
final energy = -4.255 eV/atom

a = 5.804 Å, b = 5.804 Å, c = 5.804 Å
α = 90.00°, β = 90.00°, γ = 90.00°
Space group Pm-3m (No. 221)
One atom of each set of equivalent atoms:
Y (0.000, 0.000, 0.000) x1
In (0.500, 0.500, 0.500) x1
Bi (0.000, 0.000, 0.500) x3

=====

Entry 3:
## YInBi2 (PBEsol)

Data for YInBi2 after structural relaxation.

## Properties
magnetic moment = 0.0 μB per formula unit
final energy = -4.659 eV/atom

a = 7.082 Å, b = 7.082 Å, c = 12.816 Å
α = 90.00°, β = 90.00°, γ = 90.00°
Space group I-42d (No. 122)
One atom of each set of equivalent atoms:
Y (0.000, 0.000, 0.000) x4
In (0.000, 0.000, 0.500) x4
Bi (0.233, 0.250, 0.625) x8

=====

Entry 4:
## ZnIn3Bi (PBEsol)

Data for ZnIn3Bi after structural relaxation.

## Properties
magnetic moment = 0.0 μB per formula unit
final energy = -2.746 eV/atom

a = 5.142 Å, b = 5.142 Å, c = 5.142 Å
α = 90.00°, β = 90.00°, γ = 90.00°
Space group Pm-3m (No. 221)
One atom of each set of equivalent atoms:
Zn (0.000, 0.000, 0.000) x1
In (0.000, 0.000, 0.500) x3
Bi (0.500, 0.500, 0.500) x1

=====

Entry 5:
## K2BiIr (PBEsol)

Data for K2BiIr after structural relaxation.

## Properties
magnetic moment = 0.0 μB per formula unit
final energy = -3.785 eV/atom

a = 12.450 Å, b = 12.450 Å, c = 5.037 Å
α = 90.00°, β = 90.00°, γ = 90.00°
Space group I-42d (No. 122)
One atom of each set of equivalent atoms:
K (0.034, 0.250, 0.125) x8
Bi (0.000, 0.000, 0.500) x4
Ir (0.000, 0.000, 0.000) x4

=====

Entry 6:
## KBi3Ir (PBEsol)

Data for KBi3Ir after structural relaxation.

## Properties
magnetic moment = 0.0 μB per formula unit
final energy = -4.496 eV/atom

a = 5.432 Å, b = 5.432 Å, c = 5.432 Å
α = 90.00°, β = 90.00°, γ = 90.00°
Space group Pm-3m (No. 221)
One atom of each set of equivalent atoms:
K (0.000, 0.000, 0.000) x1
Bi (0.000, 0.500, 0.500) x3
Ir (0.500, 0.500, 0.500) x1

=====

Entry 7:
## K3BiIr (PBEsol)

Data for K3BiIr after structural relaxation.

## Properties
magnetic moment = 3.0 μB per formula unit
final energy = -2.638 eV/atom

a = 5.934 Å, b = 5.934 Å, c = 5.934 Å
α = 90.00°, β = 90.00°, γ = 90.00°
Space group Pm-3m (No. 221)
One atom of each set of equivalent atoms:
K (0.000, 0.000, 0.500) x3
Bi (0.500, 0.500, 0.500) x1
Ir (0.000, 0.000, 0.000) x1

=====

Entry 8:
## LaBi3Ir (PBEsol)

Data for LaBi3Ir after structural relaxation.

## Properties
magnetic moment = 2.1 μB per formula unit
final energy = -3.849 eV/atom

a = 5.905 Å, b = 5.905 Å, c = 5.905 Å
α = 90.00°, β = 90.00°, γ = 90.00°
Space group Pm-3m (No. 221)
One atom of each set of equivalent atoms:
La (0.000, 0.000, 0.000) x1
Bi (0.000, 0.000, 0.500) x3
Ir (0.500, 0.500, 0.500) x1

=====

Entry 9:
## LaBi2Ir2 (PBEsol)

Data for LaBi2Ir2 after structural relaxation.

## Properties
magnetic moment = 0.0 μB per formula unit
final energy = -6.912 eV/atom

a = 4.739 Å, b = 4.739 Å, c = 10.517 Å
α = 90.00°, β = 90.00°, γ = 90.00°
Space group I4/mmm (No. 139)
One atom of each set of equivalent atoms:
La (0.000, 0.000, 0.000) x2
Bi (0.000, 0.500, 0.250) x4
Ir (0.000, 0.000, 0.380) x4

=====

Entry 10:
## Li2Bi2Ir (PBEsol)

Data for Li2Bi2Ir after structural relaxation.

## Properties
magnetic moment = 0.0 μB per formula unit
final energy = -4.527 eV/atom

a = 6.964 Å, b = 6.964 Å, c = 4.599 Å
α = 90.00°, β = 90.00°, γ = 90.00°
Space group P4/mbm (No. 127)
One atom of each set of equivalent atoms:
Li (0.166, 0.334, 0.000) x4
Bi (0.151, 0.651, 0.500) x4
Ir (0.000, 0.000, 0.500) x2

=====

Entry 11:
## MgBi3Ir (PBEsol)

Data for MgBi3Ir after structural relaxation.

## Properties
magnetic moment = 0.0 μB per formula unit
final energy = -4.391 eV/atom

a = 5.351 Å, b = 5.351 Å, c = 5.351 Å
α = 90.00°, β = 90.00°, γ = 90.00°
Space group Pm-3m (No. 221)
One atom of each set of equivalent atoms:
Mg (0.000, 0.000, 0.000) x1
Bi (0.000, 0.500, 0.500) x3
Ir (0.500, 0.500, 0.500) x1

=====

Entry 12:
## MnBi3Ir (PBEsol)

Data for MnBi3Ir after structural relaxation.

## Properties
magnetic moment = 4.2 μB per formula unit
final energy = -5.553 eV/atom

a = 5.299 Å, b = 5.299 Å, c = 5.299 Å
α = 90.00°, β = 90.00°, γ = 90.00°
Space group Pm-3m (No. 221)
One atom of each set of equivalent atoms:
Mn (0.000, 0.000, 0.000) x1
Bi (0.000, 0.500, 0.500) x3
Ir (0.500, 0.500, 0.500) x1

=====

Entry 13:
## BiIr2N (PBEsol)

Data for BiIr2N after structural relaxation.

## Properties
E above lowest polymorph = 0 meV per atom
magnetic moment = 0.0 μB per formula unit
final energy = -7.641 eV/atom
formation energy without anion corrections = 10.9 kcal/mol of atoms

a = 4.981 Å, b = 4.981 Å, c = 11.503 Å
α = 90.00°, β = 90.00°, γ = 90.00°
Space group I-42d (No. 122)
One atom of each set of equivalent atoms:
Bi (0.000, 0.000, 0.000) x4
Ir (0.113, 0.250, 0.625) x8
N (0.000, 0.000, 0.500) x4

=====

Entry 14:
## BiIrN2 (PBEsol)

Data for BiIrN2 after structural relaxation.

## Properties
magnetic moment = 0.0 μB per formula unit
final energy = -7.204 eV/atom
formation energy without anion corrections = 13.5 kcal/mol of atoms

a = 3.2212 Å, b = 3.2212 Å, c = 19.5193 Å
α = 90.00°, β = 90.00°, γ = 120.00°
Space group R-3m (No. 166, hexagonal axes)
One atom of each set of equivalent atoms:
Bi (0.0000, 0.0000, 0.0000) x3
Ir (0.0000, 0.0000, 0.5000) x3
N (0.0000, 0.0000, 0.1214) x6

=====

Entry 15:
## BiIrN2 (PBEsol)

Data for BiIrN2 after structural relaxation.

## Properties
magnetic moment = 0.0 μB per formula unit
final energy = -6.846 eV/atom
formation energy without anion corrections = 21.8 kcal/mol of atoms

a = 3.3670 Å, b = 3.3670 Å, c = 19.1990 Å
α = 90.00°, β = 90.00°, γ = 120.00°
Space group R-3m (No. 166, hexagonal axes)
One atom of each set of equivalent atoms:
Bi (0.0000, 0.0000, 0.0000) x3
Ir (0.0000, 0.0000, 0.5000) x3
N (0.0000, 0.0000, 0.4030) x6

=====

Entry 16:
## BiIr2N (PBEsol)

Data for BiIr2N after structural relaxation.

## Properties
E above lowest polymorph = 1015 meV per atom
magnetic moment = 0.0 μB per formula unit
final energy = -6.626 eV/atom
formation energy without anion corrections = 34.3 kcal/mol of atoms

a = 6.218 Å, b = 6.218 Å, c = 6.218 Å
α = 90.00°, β = 90.00°, γ = 90.00°
Space group Fm-3m (No. 225)
One atom of each set of equivalent atoms:
Bi (0.000, 0.000, 0.000) x4
Ir (0.250, 0.250, 0.250) x8
N (0.000, 0.000, 0.500) x4

=====

Entry 17:
## BiIrN3 (PBEsol)

Data for BiIrN3 after structural relaxation.

## Properties
magnetic moment = 0.0 μB per formula unit
final energy = -6.940 eV/atom
formation energy without anion corrections = 23.0 kcal/mol of atoms

a = 3.923 Å, b = 3.923 Å, c = 3.923 Å
α = 90.00°, β = 90.00°, γ = 90.00°
Space group Pm-3m (No. 221)
One atom of each set of equivalent atoms:
Bi (0.000, 0.000, 0.000) x1
Ir (0.500, 0.500, 0.500) x1
N (0.000, 0.500, 0.500) x3

=====

Entry 18:
## BiIrN2 (PBEsol)

Data for BiIrN2 after structural relaxation.

## Properties
magnetic moment = 0.0 μB per formula unit
final energy = -7.025 eV/atom
formation energy without anion corrections = 17.7 kcal/mol of atoms

a = 5.448 Å, b = 5.448 Å, c = 8.491 Å
α = 90.00°, β = 90.00°, γ = 90.00°
Space group I-42d (No. 122)
One atom of each set of equivalent atoms:
Bi (0.000, 0.000, 0.000) x4
Ir (0.000, 0.000, 0.500) x4
N (0.166, 0.750, 0.625) x8

=====

Entry 19:
## BiIrN3 (PBEsol)

Data for BiIrN3 after structural relaxation.

## Properties
magnetic moment = 0.0 μB per formula unit
final energy = -5.185 eV/atom
formation energy without anion corrections = 63.5 kcal/mol of atoms

a = 4.162 Å, b = 4.162 Å, c = 4.162 Å
α = 90.00°, β = 90.00°, γ = 90.00°
Space group Pm-3m (No. 221)
One atom of each set of equivalent atoms:
Bi (0.000, 0.000, 0.000) x1
Ir (0.500, 0.500, 0.500) x1
N (0.000, 0.000, 0.500) x3

=====

Entry 20:
## NbBi2IrN (PBEsol)

Data for NbBi2IrN after structural relaxation.

## Properties
magnetic moment = 0.0 μB per formula unit
final energy = -7.069 eV/atom
formation energy without anion corrections = 11.1 kcal/mol of atoms

a = 4.851 Å, b = 4.851 Å, c = 4.024 Å
α = 90.00°, β = 90.00°, γ = 90.00°
Space group P4/mmm (No. 123)
One atom of each set of equivalent atoms:
Nb (0.000, 0.000, 0.000) x1
Bi (0.000, 0.500, 0.500) x2
Ir (0.500, 0.500, 0.000) x1
N (0.000, 0.000, 0.500) x1